Record 1
! LaPr6Mg2 | the Alexandria database | PBE | optimized geometry; values from VASP
&SYSTEM
  ibrav = 0, nat = 18, ntyp = 3
/
ATOMIC_SPECIES
La 138.91 La.upf
Pr 140.91 Pr.upf
Mg 24.30 Mg.upf
CELL_PARAMETERS angstrom
6.0889 -0.0367 -0.0355
1.3234 10.0967 1.5008
1.3234 1.8272 10.0428
ATOMIC_POSITIONS crystal
La 0.2500 0.1534 0.8466
La 0.7500 0.8466 0.1534
Pr 0.4670 0.6720 0.4498
Pr 0.0330 0.5502 0.3280
Pr 0.5330 0.3280 0.5502
Pr 0.9670 0.4498 0.6720
Pr 0.6498 0.1161 0.3533
Pr 0.8502 0.6467 0.8839
Pr 0.3502 0.8839 0.6467
Pr 0.1498 0.3533 0.1161
Pr 0.2981 0.7735 0.0012
Pr 0.2019 0.9988 0.2265
Pr 0.7019 0.2265 0.9988
Pr 0.7981 0.0012 0.7735
Mg 0.4082 0.5231 0.7968
Mg 0.0918 0.2032 0.4769
Mg 0.5918 0.4769 0.2032
Mg 0.9082 0.7968 0.5231
! offset from the most stable computed form	68	meV per atom
! space group	C2/c
! ρ	5.70	Mg/m³
! ΔH_f (0 K)	36	meV per atom

=====

Record 2
! LaPr12Mg3 | the Alexandria database | PBE | optimized geometry; values from VASP
&SYSTEM
  ibrav = 0, nat = 16, ntyp = 3
/
ATOMIC_SPECIES
La 138.91 La.upf
Pr 140.91 Pr.upf
Mg 24.30 Mg.upf
CELL_PARAMETERS angstrom
-2.7127 -1.2882 -4.1387
4.2364 -1.8211 -2.2099
-3.6990 -18.5571 8.2008
ATOMIC_POSITIONS crystal
La 0.0000 0.0000 0.0000
Pr 0.5000 0.5000 0.0000
Pr 0.5000 0.5000 0.2552
Pr 0.5000 0.5000 0.5000
Pr 0.5000 0.5000 0.7448
Pr 0.5000 0.0000 0.1305
Pr 0.5000 0.0000 0.3775
Pr 0.5000 0.0000 0.6225
Pr 0.5000 0.0000 0.8695
Pr 0.0000 0.5000 0.1305
Pr 0.0000 0.5000 0.3775
Pr 0.0000 0.5000 0.6225
Pr 0.0000 0.5000 0.8695
Mg 0.0000 0.0000 0.2556
Mg 0.0000 0.0000 0.5000
Mg 0.0000 0.0000 0.7444
! space group	P4/mmm
! ρ	5.86	Mg/m³
! ΔH_f (0 K)	0	meV per atom

=====

Record 3
! La2Pr2Mg | the Alexandria database | PBE | optimized geometry; values from VASP
&SYSTEM
  ibrav = 0, nat = 5, ntyp = 3
/
ATOMIC_SPECIES
La 138.91 La.upf
Pr 140.91 Pr.upf
Mg 24.30 Mg.upf
CELL_PARAMETERS angstrom
3.7342 0.0000 -0.5991
-0.0961 3.7330 -0.5991
0.0521 0.0535 12.2613
ATOMIC_POSITIONS crystal
La 0.8051 0.8051 0.6102
La 0.1949 0.1949 0.3898
Pr 0.5876 0.5876 0.1753
Pr 0.4124 0.4124 0.8247
Mg 0.0000 0.0000 0.0000
! offset from the most stable computed form	0	meV per atom
! space group	I4/mmm
! ρ	5.67	Mg/m³
! ΔH_f (0 K)	-30	meV per atom

=====

Record 4
! LaPr2Mg9 | the Alexandria database | PBE | optimized geometry; values from VASP
&SYSTEM
  ibrav = 0, nat = 12, ntyp = 3
/
ATOMIC_SPECIES
La 138.91 La.upf
Pr 140.91 Pr.upf
Mg 24.30 Mg.upf
CELL_PARAMETERS angstrom
6.1124 0.0000 0.0000
3.0562 5.2935 0.0000
3.0562 1.7645 10.0211
ATOMIC_POSITIONS crystal
La 0.0000 0.0000 0.0000
Pr 0.8557 0.8557 0.4329
Pr 0.1443 0.1443 0.5671
Mg 0.6660 0.6660 0.0019
Mg 0.3340 0.3340 0.9981
Mg 0.5000 0.5000 0.5000
Mg 0.4152 0.4152 0.2500
Mg 0.9195 0.4152 0.2500
Mg 0.4152 0.9195 0.2500
Mg 0.5848 0.5848 0.7500
Mg 0.5848 0.0805 0.7500
Mg 0.0805 0.5848 0.7500
! space group	R-3m
! ρ	3.27	Mg/m³
! ΔH_f (0 K)	-87	meV per atom

=====

| no. | calculated volume (Å³ per atom) |
| --- | --- |
| 1 | 33.42 |
| 2 | 33.70 |
| 3 | 34.23 |
| 4 | 27.02 |